1.
Compound: CrPbW2S
Source: Alexandria
Functional: PBE
Structure: relaxed

Its space group is P4/mmm, No. 123. Its energy relative to the elements, uncorrected is 4.0 eV/f.u. The total energy is -39.385 eV for the cell shown.

Cell and atoms, written as CIF:
```
data_CrPbW2S
_chemical_formula_sum 'Cr1 Pb1 W2 S1'
_space_group_name_H-M_alt 'P 1'
_space_group_IT_number 1
_cell_length_a 4.5302
_cell_length_b 4.5302
_cell_length_c 4.2979
_cell_angle_alpha 90.00
_cell_angle_beta 90.00
_cell_angle_gamma 90.00
loop_
_space_group_symop_operation_xyz
'x,y,z'
loop_
_atom_site_label
_atom_site_type_symbol
_atom_site_fract_x
_atom_site_fract_y
_atom_site_fract_z
Cr1 Cr 0.0000 0.0000 0.0000
Pb1 Pb 0.5000 0.5000 0.0000
W1 W 0.0000 0.5000 0.5000
W2 W 0.5000 0.0000 0.5000
S1 S 0.0000 0.0000 0.5000
```

---

2.
Compound: CrSbPb
Source: Alexandria
Functional: PBE
Structure: relaxed

Its space group is P3m1, No. 156. Its energy relative to the elements, uncorrected is 1.3 eV/f.u. The total energy is -16.175 eV for the cell shown.

Cell and atoms, written as CIF:
```
data_CrSbPb
_chemical_formula_sum 'Cr1 Sb1 Pb1'
_space_group_name_H-M_alt 'P 1'
_space_group_IT_number 1
_cell_length_a 3.4713
_cell_length_b 3.4713
_cell_length_c 6.9693
_cell_angle_alpha 90.00
_cell_angle_beta 90.00
_cell_angle_gamma 120.00
loop_
_space_group_symop_operation_xyz
'x,y,z'
loop_
_atom_site_label
_atom_site_type_symbol
_atom_site_fract_x
_atom_site_fract_y
_atom_site_fract_z
Cr1 Cr 0.0000 0.0000 0.0000
Sb1 Sb 0.3333 0.6667 0.7319
Pb1 Pb 0.6667 0.3333 0.3174
```

---

3.
Compound: CrSb2Pb2
Source: Alexandria
Functional: PBE
Structure: relaxed

Its space group is P4/mbm, No. 127. Its energy relative to the elements, uncorrected is 1.0 eV/f.u. The total energy is -48.613 eV for the cell shown.

Cell and atoms, written as CIF:
```
data_CrSb2Pb2
_chemical_formula_sum 'Cr2 Sb4 Pb4'
_space_group_name_H-M_alt 'P 1'
_space_group_IT_number 1
_cell_length_a 7.0431
_cell_length_b 7.0431
_cell_length_c 5.6454
_cell_angle_alpha 90.00
_cell_angle_beta 90.00
_cell_angle_gamma 90.00
loop_
_space_group_symop_operation_xyz
'x,y,z'
loop_
_atom_site_label
_atom_site_type_symbol
_atom_site_fract_x
_atom_site_fract_y
_atom_site_fract_z
Cr1 Cr 0.0000 0.0000 0.0000
Cr2 Cr 0.5000 0.5000 0.0000
Sb1 Sb 0.1466 0.3534 0.0000
Sb2 Sb 0.3534 0.8534 0.0000
Sb3 Sb 0.6466 0.1466 0.0000
Sb4 Sb 0.8534 0.6466 0.0000
Pb1 Pb 0.1833 0.6833 0.5000
Pb2 Pb 0.3167 0.1833 0.5000
Pb3 Pb 0.6833 0.8167 0.5000
Pb4 Pb 0.8167 0.3167 0.5000
```

---

4.
Compound: CrSbPb
Source: Alexandria
Functional: PBE
Structure: relaxed

Its space group is F-43m, No. 216. Its energy relative to the elements, uncorrected is 0.9 eV/f.u. The total energy is -66.268 eV for the cell shown.

Cell and atoms, written as CIF:
```
data_CrSbPb
_chemical_formula_sum 'Cr4 Sb4 Pb4'
_space_group_name_H-M_alt 'P 1'
_space_group_IT_number 1
_cell_length_a 6.7965
_cell_length_b 6.7965
_cell_length_c 6.7965
_cell_angle_alpha 90.00
_cell_angle_beta 90.00
_cell_angle_gamma 90.00
loop_
_space_group_symop_operation_xyz
'x,y,z'
loop_
_atom_site_label
_atom_site_type_symbol
_atom_site_fract_x
_atom_site_fract_y
_atom_site_fract_z
Cr1 Cr 0.0000 0.0000 0.0000
Cr2 Cr 0.0000 0.5000 0.5000
Cr3 Cr 0.5000 0.0000 0.5000
Cr4 Cr 0.5000 0.5000 0.0000
Sb1 Sb 0.2500 0.2500 0.7500
Sb2 Sb 0.2500 0.7500 0.2500
Sb3 Sb 0.7500 0.2500 0.2500
Sb4 Sb 0.7500 0.7500 0.7500
Pb1 Pb 0.2500 0.2500 0.2500
Pb2 Pb 0.2500 0.7500 0.7500
Pb3 Pb 0.7500 0.2500 0.7500
Pb4 Pb 0.7500 0.7500 0.2500
```

---

5.
Compound: CrSb4Pb
Source: Alexandria
Functional: PBE
Structure: relaxed

Its space group is F-43m, No. 216. Its energy relative to the elements, uncorrected is 3.0 eV/f.u. The total energy is -26.774 eV for the cell shown.

Cell and atoms, written as CIF:
```
data_CrSb4Pb
_chemical_formula_sum 'Cr1 Sb4 Pb1'
_space_group_name_H-M_alt 'P 1'
_space_group_IT_number 1
_cell_length_a 6.2582
_cell_length_b 6.2582
_cell_length_c 6.2582
_cell_angle_alpha 60.00
_cell_angle_beta 60.00
_cell_angle_gamma 60.00
loop_
_space_group_symop_operation_xyz
'x,y,z'
loop_
_atom_site_label
_atom_site_type_symbol
_atom_site_fract_x
_atom_site_fract_y
_atom_site_fract_z
Cr1 Cr 0.0000 0.0000 0.0000
Sb1 Sb 0.3745 0.3745 0.3745
Sb2 Sb 0.3745 0.3745 0.8764
Sb3 Sb 0.3745 0.8764 0.3745
Sb4 Sb 0.8764 0.3745 0.3745
Pb1 Pb 0.7500 0.7500 0.7500
```

---

6.
Compound: CrSbPb
Source: Alexandria
Functional: PBE
Structure: relaxed

Its space group is Imm2, No. 44. Its energy relative to the elements, uncorrected is 0.9 eV/f.u. The total energy is -33.144 eV for the cell shown.

Cell and atoms, written as CIF:
```
data_CrSbPb
_chemical_formula_sum 'Cr2 Sb2 Pb2'
_space_group_name_H-M_alt 'P 1'
_space_group_IT_number 1
_cell_length_a 3.3109
_cell_length_b 3.7440
_cell_length_c 12.2165
_cell_angle_alpha 90.00
_cell_angle_beta 90.00
_cell_angle_gamma 90.00
loop_
_space_group_symop_operation_xyz
'x,y,z'
loop_
_atom_site_label
_atom_site_type_symbol
_atom_site_fract_x
_atom_site_fract_y
_atom_site_fract_z
Cr1 Cr 0.0000 0.0000 0.0000
Cr2 Cr 0.5000 0.5000 0.5000
Sb1 Sb 0.0000 0.0000 0.6062
Sb2 Sb 0.5000 0.5000 0.1062
Pb1 Pb 0.0000 0.0000 0.3402
Pb2 Pb 0.5000 0.5000 0.8402
```

---

7.
Compound: CrSbPb
Source: Alexandria
Functional: PBE
Structure: relaxed

Its space group is P-6m2, No. 187. Its energy relative to the elements, uncorrected is 1.1 eV/f.u. The total energy is -16.329 eV for the cell shown.

Cell and atoms, written as CIF:
```
data_CrSbPb
_chemical_formula_sum 'Cr1 Sb1 Pb1'
_space_group_name_H-M_alt 'P 1'
_space_group_IT_number 1
_cell_length_a 4.6294
_cell_length_b 4.6294
_cell_length_c 4.3935
_cell_angle_alpha 90.00
_cell_angle_beta 90.00
_cell_angle_gamma 120.00
loop_
_space_group_symop_operation_xyz
'x,y,z'
loop_
_atom_site_label
_atom_site_type_symbol
_atom_site_fract_x
_atom_site_fract_y
_atom_site_fract_z
Cr1 Cr 0.0000 0.0000 0.0000
Sb1 Sb 0.3333 0.6667 0.0000
Pb1 Pb 0.6667 0.3333 0.5000
```

---

8.
Compound: CrSbTe2Pb
Source: Alexandria
Functional: PBE
Structure: relaxed

Its space group is P4/mmm, No. 123. Its energy relative to the elements, uncorrected is 5.2 eV/f.u. The total energy is -18.536 eV for the cell shown.

Cell and atoms, written as CIF:
```
data_CrSbTe2Pb
_chemical_formula_sum 'Cr1 Sb1 Te2 Pb1'
_space_group_name_H-M_alt 'P 1'
_space_group_IT_number 1
_cell_length_a 5.8494
_cell_length_b 5.8494
_cell_length_c 5.8039
_cell_angle_alpha 90.00
_cell_angle_beta 90.00
_cell_angle_gamma 90.00
loop_
_space_group_symop_operation_xyz
'x,y,z'
loop_
_atom_site_label
_atom_site_type_symbol
_atom_site_fract_x
_atom_site_fract_y
_atom_site_fract_z
Cr1 Cr 0.0000 0.0000 0.0000
Sb1 Sb 0.5000 0.5000 0.0000
Te1 Te 0.0000 0.5000 0.5000
Te2 Te 0.5000 0.0000 0.5000
Pb1 Pb 0.5000 0.5000 0.5000
```

---

9.
Compound: CrSbTe2Pb
Source: Alexandria
Functional: PBE
Structure: relaxed

Its space group is P4/mmm, No. 123. Its energy relative to the elements, uncorrected is 1.1 eV/f.u. The total energy is -22.637 eV for the cell shown.

Cell and atoms, written as CIF:
```
data_CrSbTe2Pb
_chemical_formula_sum 'Cr1 Sb1 Te2 Pb1'
_space_group_name_H-M_alt 'P 1'
_space_group_IT_number 1
_cell_length_a 5.3818
_cell_length_b 5.3818
_cell_length_c 5.1188
_cell_angle_alpha 90.00
_cell_angle_beta 90.00
_cell_angle_gamma 90.00
loop_
_space_group_symop_operation_xyz
'x,y,z'
loop_
_atom_site_label
_atom_site_type_symbol
_atom_site_fract_x
_atom_site_fract_y
_atom_site_fract_z
Cr1 Cr 0.0000 0.0000 0.0000
Sb1 Sb 0.0000 0.0000 0.5000
Te1 Te 0.0000 0.5000 0.0000
Te2 Te 0.5000 0.0000 0.0000
Pb1 Pb 0.5000 0.5000 0.5000
```

---

10.
Compound: TiCr2SbPb
Source: Alexandria
Functional: PBE
Structure: relaxed

Its space group is P4/mmm, No. 123. Its energy relative to the elements, uncorrected is 8.1 eV/f.u. The total energy is -26.874 eV for the cell shown.

Cell and atoms, written as CIF:
```
data_TiCr2SbPb
_chemical_formula_sum 'Ti1 Cr2 Sb1 Pb1'
_space_group_name_H-M_alt 'P 1'
_space_group_IT_number 1
_cell_length_a 5.0708
_cell_length_b 5.0708
_cell_length_c 5.8506
_cell_angle_alpha 90.00
_cell_angle_beta 90.00
_cell_angle_gamma 90.00
loop_
_space_group_symop_operation_xyz
'x,y,z'
loop_
_atom_site_label
_atom_site_type_symbol
_atom_site_fract_x
_atom_site_fract_y
_atom_site_fract_z
Ti1 Ti 0.0000 0.0000 0.0000
Cr1 Cr 0.0000 0.5000 0.5000
Cr2 Cr 0.5000 0.0000 0.5000
Sb1 Sb 0.5000 0.5000 0.0000
Pb1 Pb 0.5000 0.5000 0.5000
```

---

11.
Compound: TlCr2SbPb
Source: Alexandria
Functional: PBE
Structure: relaxed

Its space group is P4/mmm, No. 123. Its energy relative to the elements, uncorrected is 5.4 eV/f.u. The total energy is -24.030 eV for the cell shown.

Cell and atoms, written as CIF:
```
data_TlCr2SbPb
_chemical_formula_sum 'Tl1 Cr2 Sb1 Pb1'
_space_group_name_H-M_alt 'P 1'
_space_group_IT_number 1
_cell_length_a 5.3340
_cell_length_b 5.3340
_cell_length_c 5.8871
_cell_angle_alpha 90.00
_cell_angle_beta 90.00
_cell_angle_gamma 90.00
loop_
_space_group_symop_operation_xyz
'x,y,z'
loop_
_atom_site_label
_atom_site_type_symbol
_atom_site_fract_x
_atom_site_fract_y
_atom_site_fract_z
Tl1 Tl 0.0000 0.0000 0.0000
Cr1 Cr 0.0000 0.5000 0.5000
Cr2 Cr 0.5000 0.0000 0.5000
Sb1 Sb 0.5000 0.5000 0.0000
Pb1 Pb 0.5000 0.5000 0.5000
```

---

12.
Compound: TlCr2SbPb
Source: Alexandria
Functional: PBE
Structure: relaxed

Its space group is P4/mmm, No. 123. Its energy relative to the elements, uncorrected is 4.2 eV/f.u. The total energy is -25.235 eV for the cell shown.

Cell and atoms, written as CIF:
```
data_TlCr2SbPb
_chemical_formula_sum 'Tl1 Cr2 Sb1 Pb1'
_space_group_name_H-M_alt 'P 1'
_space_group_IT_number 1
_cell_length_a 5.1758
_cell_length_b 5.1758
_cell_length_c 6.1039
_cell_angle_alpha 90.00
_cell_angle_beta 90.00
_cell_angle_gamma 90.00
loop_
_space_group_symop_operation_xyz
'x,y,z'
loop_
_atom_site_label
_atom_site_type_symbol
_atom_site_fract_x
_atom_site_fract_y
_atom_site_fract_z
Tl1 Tl 0.0000 0.0000 0.0000
Cr1 Cr 0.0000 0.5000 0.5000
Cr2 Cr 0.5000 0.0000 0.5000
Sb1 Sb 0.5000 0.5000 0.5000
Pb1 Pb 0.5000 0.5000 0.0000
```